An optimized crystal structure of Rb2TbPmS4. Source: Alexandria via LeMat-Bulk, functional PBE.

Unit cell a=7.183 b=4.146 c=8.068 alpha=90.00 beta=107.23 gamma=90.00
Space group P2/m (No. 10)
Inequivalent atoms, fractional coordinates:
Rb (0.000, 0.000, 0.000) (multiplicity 1)
Rb (0.500, 0.500, 0.000) (multiplicity 1)
Tb (0.000, 0.500, 0.500) (multiplicity 1)
Pm (0.500, 0.000, 0.500) (multiplicity 1)
S (0.226, 0.000, 0.693) (multiplicity 2)
S (0.263, 0.500, 0.305) (multiplicity 2)

Summary:
**Final energy**: -42.6 eV/f.u.
**Density of states at the Fermi level**: 0.000 states/eV/atom
**Mass density**: 4365 kg/m³
**Formation energy (no corrections)**: -1.843 eV per atom